Entry 1:
Entry from the Alexandria database: a relaxed structure of Ba4NaNd3Te8 (GGA-PBE).

```
data_Ba4NaNd3Te8
_chemical_formula_sum 'Ba8 Na2 Nd6 Te16'
_cell_length_a 16.3727
_cell_length_b 9.4523
_cell_length_c 9.5484
_cell_angle_alpha 90.00
_cell_angle_beta 124.86
_cell_angle_gamma 90.00
_space_group_name_H-M_alt 'C 1 2/m 1'
_space_group_IT_number 12
loop_
_space_group_symop_operation_xyz
'x,y,z'
'-x,-y,-z'
'-x,y,-z'
'x,-y,z'
'x+1/2,y+1/2,z'
'-x+1/2,-y+1/2,-z'
'-x+1/2,y+1/2,-z'
'x+1/2,-y+1/2,z'
loop_
_atom_site_label
_atom_site_type_symbol
_atom_site_fract_x
_atom_site_fract_y
_atom_site_fract_z
_atom_site_occupancy
Ba1 Ba 0.0000 0.0000 0.0000 1
Ba2 Ba 0.0000 0.5000 0.0000 1
Ba3 Ba 0.2500 0.2500 0.0000 1
Na1 Na 0.0000 0.0000 0.5000 1
Nd1 Nd 0.0000 0.5000 0.5000 1
Nd2 Nd 0.2500 0.2500 0.5000 1
Te1 Te 0.0099 0.2528 0.2768 1
Te2 Te 0.2414 0.5000 0.7244 1
Te3 Te 0.2443 0.0000 0.7245 1
```

Calculated values
Raw formation energy ... -150.8 kJ per mole of atoms
Fermi-level density of states ... 0.303 states/eV per atom
DFT total energy ... -0.3374 Ry/atom
Theoretical density ... 5549 kg/m3
M_tot ... 0.00 μB/f.u.



Entry 2:
Entry from the Alexandria database: a relaxed structure of Ba8Na6Ni (GGA-PBE).

```
data_Ba8Na6Ni
_chemical_formula_sum 'Ba8 Na6 Ni1'
_cell_length_a 11.2929
_cell_length_b 11.2929
_cell_length_c 6.8989
_cell_angle_alpha 90.00
_cell_angle_beta 90.00
_cell_angle_gamma 120.00
_space_group_name_H-M_alt 'P -3'
_space_group_IT_number 147
loop_
_space_group_symop_operation_xyz
'x,y,z'
'-x,-y,-z'
'-y,x-y,z'
'y,-x+y,-z'
'-x+y,-x,z'
'x-y,x,-z'
loop_
_atom_site_label
_atom_site_type_symbol
_atom_site_fract_x
_atom_site_fract_y
_atom_site_fract_z
_atom_site_occupancy
Ba1 Ba 0.0175 0.7835 0.2427 1
Ba2 Ba 0.3333 0.6667 0.2400 1
Na1 Na 0.0885 0.6105 0.7437 1
Ni1 Ni 0.0000 0.0000 0.0000 1
```

Calculated values
Fermi-level density of states ... 0.772 states/eV per atom
DFT total energy ... -0.1412 Ry/atom
Theoretical density ... 2823 kg/m3
ΔH_f (0 K) ... 0.017 eV/atom
M_tot ... 0.00 μB/f.u.



Entry 3:
Entry from the Alexandria database: a relaxed structure of BaNa3Ni (GGA-PBE).

```
data_BaNa3Ni
_chemical_formula_sum 'Ba1 Na3 Ni1'
_cell_length_a 5.5606
_cell_length_b 5.5606
_cell_length_c 5.5606
_cell_angle_alpha 90.00
_cell_angle_beta 90.00
_cell_angle_gamma 90.00
_space_group_name_H-M_alt 'P m -3 m'
_space_group_IT_number 221
_space_group_name_Hall '-P 4 2 3'
loop_
_atom_site_label
_atom_site_type_symbol
_atom_site_fract_x
_atom_site_fract_y
_atom_site_fract_z
_atom_site_occupancy
Ba1 Ba 0.0000 0.0000 0.0000 1
Na1 Na 0.0000 0.5000 0.5000 1
Ni1 Ni 0.5000 0.5000 0.5000 1
```

Calculated values
Fermi-level density of states ... 0.504 states/eV per atom
DFT total energy ... -0.1456 Ry/atom
Theoretical density ... 2559 kg/m3
ΔH_f (0 K) ... 0.351 eV/atom
M_tot ... 0.00 μB/f.u.



Entry 4:
Entry from the Alexandria database: a relaxed structure of Ba2NaNi (GGA-PBE).

```
data_Ba2NaNi
_chemical_formula_sum 'Ba2 Na1 Ni1'
_cell_length_a 3.8944
_cell_length_b 3.8944
_cell_length_c 9.8154
_cell_angle_alpha 90.00
_cell_angle_beta 90.00
_cell_angle_gamma 90.00
_space_group_name_H-M_alt 'P 4/m m m'
_space_group_IT_number 123
_space_group_name_Hall '-P 4 2'
loop_
_atom_site_label
_atom_site_type_symbol
_atom_site_fract_x
_atom_site_fract_y
_atom_site_fract_z
_atom_site_occupancy
Ba1 Ba 0.0000 0.0000 0.1850 1
Na1 Na 0.5000 0.5000 0.5000 1
Ni1 Ni 0.5000 0.5000 0.0000 1
```

Calculated values
Fermi-level density of states ... 0.807 states/eV per atom
DFT total energy ... -0.1951 Ry/atom
Theoretical density ... 3975 kg/m3
ΔH_f (0 K) ... 0.082 eV/atom
M_tot ... 0.00 μB/f.u.
E above lowest polymorph ... 0.26 eV/f.u.



Entry 5:
Entry from the Alexandria database: a relaxed structure of Ba14NaNi (GGA-PBE).

```
data_Ba14NaNi
_chemical_formula_sum 'Ba28 Na2 Ni2'
_cell_length_a 12.4104
_cell_length_b 10.6036
_cell_length_c 14.0901
_cell_angle_alpha 90.00
_cell_angle_beta 90.00
_cell_angle_gamma 90.00
_space_group_name_H-M_alt 'A m m 2'
_space_group_IT_number 38
loop_
_space_group_symop_operation_xyz
'x,y,z'
'-x,-y,z'
'-x,y,z'
'x,-y,z'
'x,y+1/2,z+1/2'
'-x,-y+1/2,z+1/2'
'-x,y+1/2,z+1/2'
'x,-y+1/2,z+1/2'
loop_
_atom_site_label
_atom_site_type_symbol
_atom_site_fract_x
_atom_site_fract_y
_atom_site_fract_z
_atom_site_occupancy
Ba1 Ba 0.0000 0.0000 0.0000 1
Ba2 Ba 0.0000 0.0000 0.4768 1
Ba3 Ba 0.0000 0.2194 0.7363 1
Ba4 Ba 0.2308 0.0000 0.2350 1
Ba5 Ba 0.2840 0.0000 0.7844 1
Ba6 Ba 0.3122 0.1961 0.5173 1
Ba7 Ba 0.5000 0.2255 0.2585 1
Na1 Na 0.5000 0.0000 0.0150 1
Ni1 Ni 0.5000 0.0000 0.6438 1
```

Calculated values
Fermi-level density of states ... 1.439 states/eV per atom
DFT total energy ... -0.1504 Ry/atom
Theoretical density ... 3590 kg/m3
ΔH_f (0 K) ... 0.080 eV/atom
M_tot ... 0.00 μB/f.u.



Entry 6:
Entry from the Alexandria database: a relaxed structure of Ba2NaNi (GGA-PBE).

```
data_Ba2NaNi
_chemical_formula_sum 'Ba6 Na3 Ni3'
_cell_length_a 4.3774
_cell_length_b 4.3774
_cell_length_c 34.2554
_cell_angle_alpha 90.00
_cell_angle_beta 90.00
_cell_angle_gamma 120.00
_space_group_name_H-M_alt 'R -3 m'
_space_group_IT_number 166
_space_group_name_Hall '-R 3 2"'
loop_
_atom_site_label
_atom_site_type_symbol
_atom_site_fract_x
_atom_site_fract_y
_atom_site_fract_z
_atom_site_occupancy
Ba1 Ba 0.0000 0.0000 0.1161 1
Na1 Na 0.0000 0.0000 0.0000 1
Ni1 Ni 0.0000 0.0000 0.5000 1
```

Calculated values
Fermi-level density of states ... 0.776 states/eV per atom
DFT total energy ... -0.1928 Ry/atom
Theoretical density ... 3123 kg/m3
ΔH_f (0 K) ... 0.113 eV/atom
M_tot ... 0.00 μB/f.u.
E above lowest polymorph ... 0.38 eV/f.u.